Entry 1:
Entry from Alexandria: an optimized crystal structure of Sm3SiSe2 (PBE).

Cell: 7.2827 7.2827 7.2827 Å, 146.43 132.03 59.82°
Positions (direct):
Sm (0.0000, 0.0000, 0.0000)
Sm (0.3412, 0.3412, 0.0000)
Sm (0.6588, 0.6588, 0.0000)
Si (0.5000, 0.0000, 0.5000)
Se (0.1683, 0.6683, 0.5000)
Se (0.8317, 0.3317, 0.5000)

Computed properties:
- spin magnetization (μB/atom) = 0.00
- E (eV per cell) = -35.776
- excess energy over the best structure of this formula in the dataset (meV/atom) = 5.8
- space group = Immm
- formation energy from raw total energies (eV/atom) = -1.54


Entry 2:
Entry from Alexandria: an optimized crystal structure of Sm4SiSe2 (PBE).

Cell: 7.0365 7.0365 13.8803 Å, 90.00 90.00 146.05°
Positions (direct):
Sm (0.0000, 0.0000, 0.0000)
Sm (0.0000, 0.0000, 0.5000)
Sm (0.2826, 0.7174, 0.6278)
Sm (0.2826, 0.7174, 0.8722)
Sm (0.4506, 0.5494, 0.2500)
Sm (0.5494, 0.4506, 0.7500)
Sm (0.7174, 0.2826, 0.1278)
Sm (0.7174, 0.2826, 0.3722)
Si (0.1043, 0.8957, 0.2500)
Si (0.8957, 0.1043, 0.7500)
Se (0.3597, 0.6403, 0.0639)
Se (0.3597, 0.6403, 0.4361)
Se (0.6403, 0.3597, 0.5639)
Se (0.6403, 0.3597, 0.9361)

Computed properties:
- spin magnetization (μB/atom) = 0.00
- E (eV per cell) = -79.908
- space group = Cmcm
- formation energy from raw total energies (eV/atom) = -1.24


Entry 3:
Entry from Alexandria: an optimized crystal structure of Sm4SiSe3 (PBE).

Cell: 5.9145 5.9145 5.9145 Å, 90.00 90.00 90.00°
Positions (direct):
Sm (0.0000, 0.0000, 0.0000)
Sm (0.0000, 0.5000, 0.5000)
Sm (0.5000, 0.0000, 0.5000)
Sm (0.5000, 0.5000, 0.0000)
Si (0.5000, 0.5000, 0.5000)
Se (0.0000, 0.0000, 0.5000)
Se (0.0000, 0.5000, 0.0000)
Se (0.5000, 0.0000, 0.0000)

Computed properties:
- spin magnetization (μB/atom) = 0.00
- E (eV per cell) = -47.700
- space group = Pm-3m
- formation energy from raw total energies (eV/atom) = -1.62


Which of these has the highest E? Sm3SiSe2


The highest E belongs to which entry? Sm3SiSe2